A relaxed Li3Bi2 crystal. Source: Alexandria, functional PBE-GGA.

Summary:
The value obtained for the total energy is -3.01 eV per atom. Its symmetry is R-3c.

Structure (POSCAR):
```
Li3Bi2
1.0
4.125 2.381 4.233
-4.125 2.381 4.233
0.000 -4.763 4.233
Li Bi
6 4
direct
0.055 0.750 0.445
0.250 0.555 0.945
0.445 0.055 0.750
0.555 0.945 0.250
0.750 0.445 0.055
0.945 0.250 0.555
0.121 0.121 0.121
0.379 0.379 0.379
0.621 0.621 0.621
0.879 0.879 0.879
```

A relaxed LiBi crystal. Source: Alexandria, functional PBE-GGA.

Summary:
The value obtained for the total energy is -3.05 eV per atom. Its symmetry is P4/m.

Structure (POSCAR):
```
LiBi
1.0
9.601 0.000 0.000
0.000 9.601 0.000
0.000 0.000 4.944
Li Bi
8 8
direct
0.034 0.730 0.000
0.126 0.275 0.500
0.270 0.034 0.000
0.275 0.874 0.500
0.725 0.126 0.500
0.730 0.966 0.000
0.874 0.725 0.500
0.966 0.270 0.000
0.155 0.592 0.500
0.282 0.349 0.000
0.349 0.718 0.000
0.408 0.155 0.500
0.592 0.845 0.500
0.651 0.282 0.000
0.718 0.651 0.000
0.845 0.408 0.500
```

A relaxed Li2Bi crystal. Source: Alexandria, functional PBE-GGA.

Summary:
The value obtained for the total energy is -2.76 eV per atom. Its symmetry is Fd-3m.

Structure (POSCAR):
```
Li2Bi
1.0
0.000 4.000 4.000
4.000 0.000 4.000
4.000 4.000 0.000
Li Bi
4 2
direct
0.000 0.000 0.000
0.000 0.000 0.500
0.000 0.500 0.000
0.500 0.000 0.000
0.375 0.375 0.375
0.625 0.625 0.625
```

A relaxed LiBi3 crystal. Source: Alexandria, functional PBE-GGA.

Summary:
The value obtained for the total energy is -3.50 eV per atom. Its symmetry is Pm-3m.

Structure (POSCAR):
```
LiBi3
1.0
4.886 0.000 0.000
0.000 4.886 0.000
0.000 0.000 4.886
Li Bi
1 3
direct
0.000 0.000 0.000
0.000 0.500 0.500
0.500 0.000 0.500
0.500 0.500 0.000
```

What did the fourth record say?
A relaxed LiBi3 crystal. Source: Alexandria, functional PBE-GGA.

Summary:
The value obtained for the total energy is -3.50 eV per atom. Its symmetry is Pm-3m.

Structure (POSCAR):
```
LiBi3
1.0
4.886 0.000 0.000
0.000 4.886 0.000
0.000 0.000 4.886
Li Bi
1 3
direct
0.000 0.000 0.000
0.000 0.500 0.500
0.500 0.000 0.500
0.500 0.500 0.000
```